Record 1
DFT (SCAN) results for KAu2Cl at its PBEsol-relaxed geometry.

Cell and atoms, written as POSCAR:
```
KAu2Cl
1.0
-0.554 3.684 -1.150
0.855 -1.016 -3.666
-5.934 -1.219 -1.045
Cl Au K
1 2 1
direct
0.500 0.500 0.500
0.500 0.000 0.000
0.000 0.500 0.000
0.000 0.000 0.500
```

Values from the calculation:
- total magnetization (μB/cell) = 0.0
- offset from the most stable computed form (meV/atom) = 90.9
- final energy (eV/atom) = -39.234
- E_form (uncorrected) (eV per atom) = -0.58

=====

Record 2
DFT (SCAN) results for ScAlTeI2 at its PBEsol-relaxed geometry.

Cell and atoms, written as POSCAR:
```
ScAlTeI2
1.0
-0.508 -1.283 -5.369
5.468 1.128 -0.787
1.275 -5.369 1.162
Al Sc Te I
1 1 1 2
direct
0.500 0.500 0.500
0.000 0.000 0.000
0.500 0.000 0.000
0.000 0.500 0.000
0.000 0.000 0.500
```

Values from the calculation:
- total magnetization (μB/cell) = 0.0
- final energy (eV/atom) = -27.019
- E_form (uncorrected) (eV per atom) = -0.47

=====

Record 3
DFT (SCAN) results for Dy3Ge3Ru2 at its PBEsol-relaxed geometry.

Cell and atoms, written as POSCAR:
```
Dy3Ge3Ru2
1.0
4.211 0.000 0.000
-2.105 5.349 0.000
0.000 0.000 13.754
Dy Ru Ge
6 4 6
direct
0.646 0.292 0.750
0.922 0.844 0.613
0.078 0.156 0.113
0.922 0.844 0.887
0.078 0.156 0.387
0.354 0.708 0.250
0.786 0.572 0.418
0.214 0.428 0.582
0.786 0.572 0.082
0.214 0.428 0.918
0.335 0.670 0.750
0.615 0.231 0.959
0.615 0.231 0.541
0.665 0.330 0.250
0.385 0.769 0.459
0.385 0.769 0.041
```

Values from the calculation:
- total magnetization (μB/cell) = 0.0
- E_form (eV per atom) = -0.89
- final energy (eV/atom) = -34.679